Crystalline AlZn2Tc at its relaxed geometry, computed with PBE.

Unit cell a=2.690 b=4.169 c=5.373 alpha=90.00 beta=104.16 gamma=90.00
Fractional coordinates of all 4 atoms:
Al (0.000, 0.000, 0.000)
Zn (0.246, 0.000, 0.487)
Zn (0.856, 0.500, 0.699)
Tc (0.590, 0.500, 0.183)

- Volume: 58 Å³ per cell
- Total DFT energy (no corrections): -4.2226 eV per atom
- Total magnetic moment: 0.0 μB/f.u.
- D(E_F): 1.5 states/eV per cell
- Energy relative to the elements: -0.2 eV per formula unit

Crystalline KLi2In2Bi2 at its relaxed geometry, computed with PBE.

Unit cell a=9.875 b=9.875 c=9.875 alpha=30.29 beta=30.29 gamma=30.29
Fractional coordinates of all 7 atoms:
K (0.000, 0.000, 0.000)
Li (0.143, 0.143, 0.143)
Li (0.857, 0.857, 0.857)
In (0.448, 0.448, 0.448)
In (0.552, 0.552, 0.552)
Bi (0.248, 0.248, 0.248)
Bi (0.752, 0.752, 0.752)

- Volume: 217 Å³ per cell
- Total DFT energy (no corrections): -2.8839 eV per atom
- Total magnetic moment: 0.0 μB/f.u.
- D(E_F): 1.2 states/eV per cell
- Energy relative to the elements: -2.0 eV per formula unit

Crystalline DyZr2Al9 at its relaxed geometry, computed with PBE.

Unit cell a=9.304 b=9.304 c=9.304 alpha=33.56 beta=33.56 gamma=33.56
Fractional coordinates of all 12 atoms:
Dy (0.000, 0.000, 0.000)
Zr (0.144, 0.144, 0.144)
Zr (0.856, 0.856, 0.856)
Al (0.080, 0.590, 0.590)
Al (0.334, 0.334, 0.334)
Al (0.410, 0.410, 0.920)
Al (0.410, 0.920, 0.410)
Al (0.500, 0.500, 0.500)
Al (0.590, 0.080, 0.590)
Al (0.590, 0.590, 0.080)
Al (0.666, 0.666, 0.666)
Al (0.920, 0.410, 0.410)

- Volume: 219 Å³ per cell
- Total DFT energy (no corrections): -4.9459 eV per atom
- Total magnetic moment: 0.0 μB/f.u.
- D(E_F): 7.0 states/eV per cell
- Energy relative to the elements: -4.0 eV per formula unit

Crystalline Hf3OsRu at its relaxed geometry, computed with PBE.

Unit cell a=4.924 b=4.924 c=4.924 alpha=90.00 beta=90.00 gamma=90.00
Fractional coordinates of all 5 atoms:
Hf (0.000, 0.000, 0.500)
Hf (0.000, 0.500, 0.000)
Hf (0.500, 0.000, 0.000)
Os (0.000, 0.000, 0.000)
Ru (0.500, 0.500, 0.500)

- Volume: 119 Å³ per cell
- Total DFT energy (no corrections): -9.3307 eV per atom
- Energy above the most stable polymorph in this dataset: 0 meV/atom
- Total magnetic moment: 0.0 μB/f.u.
- D(E_F): 7.3 states/eV per cell
- Energy relative to the elements: 3.7 eV per formula unit

Crystalline Ac3In6Hg5 at its relaxed geometry, computed with PBE.

Unit cell a=4.883 b=14.433 c=11.176 alpha=90.00 beta=90.00 gamma=90.00
Fractional coordinates of all 28 atoms:
Ac (0.250, 0.062, 0.246)
Ac (0.250, 0.438, 0.246)
Ac (0.250, 0.750, 0.249)
Ac (0.750, 0.250, 0.751)
Ac (0.750, 0.562, 0.754)
Ac (0.750, 0.938, 0.754)
In (0.250, 0.093, 0.880)
In (0.250, 0.250, 0.053)
In (0.250, 0.250, 0.450)
In (0.250, 0.407, 0.880)
In (0.250, 0.601, 0.524)
In (0.250, 0.899, 0.524)
In (0.750, 0.101, 0.476)
In (0.750, 0.399, 0.476)
In (0.750, 0.593, 0.120)
In (0.750, 0.750, 0.550)
In (0.750, 0.750, 0.947)
In (0.750, 0.907, 0.120)
Hg (0.250, 0.093, 0.625)
Hg (0.250, 0.407, 0.625)
Hg (0.250, 0.601, 0.974)
Hg (0.250, 0.750, 0.750)
Hg (0.250, 0.899, 0.974)
Hg (0.750, 0.101, 0.026)
Hg (0.750, 0.250, 0.250)
Hg (0.750, 0.399, 0.026)
Hg (0.750, 0.593, 0.375)
Hg (0.750, 0.907, 0.375)

- Volume: 788 Å³ per cell
- Total DFT energy (no corrections): -2.5239 eV per atom
- Total magnetic moment: 0.0 μB/f.u.
- D(E_F): 11.5 states/eV per cell
- Energy relative to the elements: -5.1 eV per formula unit

Crystalline PaTcB2 at its relaxed geometry, computed with PBE.

Unit cell a=6.072 b=6.072 c=6.072 alpha=31.57 beta=31.57 gamma=31.57
Fractional coordinates of all 4 atoms:
Pa (0.000, 0.000, 0.000)
Tc (0.500, 0.500, 0.500)
B (0.232, 0.232, 0.232)
B (0.768, 0.768, 0.768)

- Volume: 54 Å³ per cell
- Total DFT energy (no corrections): -8.4741 eV per atom
- Energy above the most stable polymorph in this dataset: 433 meV/atom
- Total magnetic moment: 0.0 μB/f.u.
- D(E_F): 2.2 states/eV per cell
- Energy relative to the elements: -0.7 eV per formula unit

Crystalline GeTePtN2 at its relaxed geometry, computed with PBE.

Unit cell a=3.829 b=3.829 c=8.540 alpha=90.00 beta=90.00 gamma=90.00
Fractional coordinates of all 5 atoms:
Ge (0.000, 0.000, 0.000)
Te (0.500, 0.500, 0.000)
Pt (0.500, 0.500, 0.500)
N (0.000, 0.500, 0.500)
N (0.500, 0.000, 0.500)

- Volume: 125 Å³ per cell
- Total DFT energy (no corrections): -4.9082 eV per atom
- Energy above the most stable polymorph in this dataset: 0 meV/atom
- Total magnetic moment: 0.0 μB/f.u.
- D(E_F): 2.3 states/eV per cell

Crystalline Ba4FeCo at its relaxed geometry, computed with PBE.

Unit cell a=7.072 b=7.072 c=7.072 alpha=60.00 beta=60.00 gamma=60.00
Fractional coordinates of all 6 atoms:
Ba (0.125, 0.125, 0.125)
Ba (0.125, 0.125, 0.625)
Ba (0.125, 0.625, 0.125)
Ba (0.625, 0.125, 0.125)
Fe (0.500, 0.500, 0.500)
Co (0.750, 0.750, 0.750)

- Volume: 250 Å³ per cell
- Total DFT energy (no corrections): -2.5406 eV per atom
- Total magnetic moment: 3.5 μB/f.u.
- D(E_F): 16.5 states/eV per cell
- Energy relative to the elements: 8.0 eV per formula unit

Crystalline HfGePtSe2 at its relaxed geometry, computed with PBE.

Unit cell a=4.767 b=4.767 c=5.200 alpha=90.00 beta=90.00 gamma=90.00
Fractional coordinates of all 5 atoms:
Hf (0.000, 0.000, 0.000)
Ge (0.000, 0.000, 0.500)
Pt (0.500, 0.500, 0.000)
Se (0.000, 0.500, 0.500)
Se (0.500, 0.000, 0.500)

- Volume: 118 Å³ per cell
- Total DFT energy (no corrections): -4.7210 eV per atom
- Total magnetic moment: 0.0 μB/f.u.
- D(E_F): 3.9 states/eV per cell

Crystalline Pm5CoHg2 at its relaxed geometry, computed with PBE.

Unit cell a=8.025 b=11.700 c=4.830 alpha=90.00 beta=90.00 gamma=90.00
Fractional coordinates of all 16 atoms:
Pm (0.000, 0.000, 0.000)
Pm (0.138, 0.303, 0.000)
Pm (0.180, 0.575, 0.500)
Pm (0.320, 0.075, 0.500)
Pm (0.362, 0.803, 0.000)
Pm (0.500, 0.500, 0.000)
Pm (0.638, 0.197, 0.000)
Pm (0.680, 0.925, 0.500)
Pm (0.820, 0.425, 0.500)
Pm (0.862, 0.697, 0.000)
Co (0.000, 0.500, 0.000)
Co (0.500, 0.000, 0.000)
Hg (0.072, 0.835, 0.500)
Hg (0.428, 0.335, 0.500)
Hg (0.572, 0.665, 0.500)
Hg (0.928, 0.165, 0.500)

- Volume: 454 Å³ per cell
- Total DFT energy (no corrections): -4.2109 eV per atom
- Energy above the most stable polymorph in this dataset: 0 meV/atom
- Total magnetic moment: 0.0 μB/f.u.
- D(E_F): 18.1 states/eV per cell
- Energy relative to the elements: -2.2 eV per formula unit

Crystalline NpU3Ga12 at its relaxed geometry, computed with PBE.

Unit cell a=5.072 b=5.072 c=12.454 alpha=90.00 beta=90.00 gamma=90.00
Fractional coordinates of all 16 atoms:
Np (0.000, 0.000, 0.000)
U (0.000, 0.000, 0.275)
U (0.000, 0.000, 0.500)
U (0.000, 0.000, 0.725)
Ga (0.000, 0.500, 0.136)
Ga (0.000, 0.500, 0.384)
Ga (0.000, 0.500, 0.616)
Ga (0.000, 0.500, 0.864)
Ga (0.500, 0.000, 0.136)
Ga (0.500, 0.000, 0.384)
Ga (0.500, 0.000, 0.616)
Ga (0.500, 0.000, 0.864)
Ga (0.500, 0.500, 0.000)
Ga (0.500, 0.500, 0.258)
Ga (0.500, 0.500, 0.500)
Ga (0.500, 0.500, 0.742)

- Volume: 320 Å³ per cell
- Total DFT energy (no corrections): -5.1708 eV per atom
- Total magnetic moment: 7.6 μB/f.u.
- D(E_F): 25.5 states/eV per cell
- Energy relative to the elements: 0.4 eV per formula unit

Crystalline Ca4Tl3Hg8 at its relaxed geometry, computed with PBE.

Unit cell a=10.531 b=10.531 c=10.531 alpha=60.00 beta=60.00 gamma=60.00
Fractional coordinates of all 30 atoms:
Ca (0.000, 0.000, 0.000)
Ca (0.000, 0.000, 0.500)
Ca (0.000, 0.500, 0.000)
Ca (0.000, 0.500, 0.500)
Ca (0.500, 0.000, 0.000)
Ca (0.500, 0.000, 0.500)
Ca (0.500, 0.500, 0.000)
Ca (0.500, 0.500, 0.500)
Tl (0.249, 0.249, 0.751)
Tl (0.249, 0.751, 0.249)
Tl (0.249, 0.751, 0.751)
Tl (0.751, 0.249, 0.249)
Tl (0.751, 0.249, 0.751)
Tl (0.751, 0.751, 0.249)
Hg (0.107, 0.631, 0.631)
Hg (0.132, 0.132, 0.132)
Hg (0.132, 0.132, 0.605)
Hg (0.132, 0.605, 0.132)
Hg (0.369, 0.369, 0.369)
Hg (0.369, 0.369, 0.893)
Hg (0.369, 0.893, 0.369)
Hg (0.395, 0.868, 0.868)
Hg (0.605, 0.132, 0.132)
Hg (0.631, 0.107, 0.631)
Hg (0.631, 0.631, 0.107)
Hg (0.631, 0.631, 0.631)
Hg (0.868, 0.395, 0.868)
Hg (0.868, 0.868, 0.395)
Hg (0.868, 0.868, 0.868)
Hg (0.893, 0.369, 0.369)

- Volume: 826 Å³ per cell
- Total DFT energy (no corrections): -1.4797 eV per atom
- Total magnetic moment: 0.0 μB/f.u.
- D(E_F): 17.3 states/eV per cell
- Energy relative to the elements: -4.7 eV per formula unit